Entry from the Alexandria database: crystalline Na2SnHg4 at its relaxed geometry (GGA-PBE).

The structure belongs to space group P2_1/m (No. 11); the cell edges are 7.961, 6.096 and 8.238 Å and the angles 90.00°, 112.68° and 90.00°. Symmetry generates all atoms from Na at (0.164, 0.250, 0.071), Na at (0.307, 0.250, 0.513), Sn at (0.248, 0.750, 0.280), Hg at (0.087, 0.508, 0.715), Hg at (0.423, 0.750, 0.678) and Hg at (0.487, 0.750, 0.072).

The excess energy over the best structure of this formula in the dataset is 0.018 eV per atom. The crystal system is monoclinic.

---

Entry from the Alexandria database: crystalline Na2SnHg at its relaxed geometry (GGA-PBE).

The structure belongs to space group P4/mmm (No. 123); the cell edges are 5.599, 5.599 and 3.398 Å and the angles 90.00°, 90.00° and 90.00°. Symmetry generates all atoms from Na at (0.000, 0.500, 0.000), Sn at (0.000, 0.000, 0.500) and Hg at (0.500, 0.500, 0.500).

As for the total energy: -7.610 eV for the cell shown. The crystal system is tetragonal.

---

Entry from the Alexandria database: crystalline Na3SnHg6 at its relaxed geometry (GGA-PBE).

The structure belongs to space group P2_1/m (No. 11); the cell edges are 8.593, 5.319 and 11.863 Å and the angles 90.00°, 109.50° and 90.00°. Symmetry generates all atoms from Na at (0.092, 0.250, 0.222), Na at (0.309, 0.250, 0.018), Na at (0.321, 0.750, 0.384), Sn at (0.109, 0.750, 0.578), Hg at (0.083, 0.250, 0.731), Hg at (0.097, 0.750, 0.066), Hg at (0.288, 0.250, 0.528), Hg at (0.301, 0.750, 0.865), Hg at (0.488, 0.250, 0.327) and Hg at (0.492, 0.750, 0.177).

As for the total energy: -23.192 eV for the cell shown. The crystal system is monoclinic.

---

Entry from the Alexandria database: crystalline Na6SnHg5 at its relaxed geometry (GGA-PBE).

The structure belongs to space group C2/m (No. 12); the cell edges are 9.412, 15.341 and 5.153 Å and the angles 90.00°, 122.75° and 90.00°. Symmetry generates all atoms from Na at (0.247, 0.000, 0.247), Na at (0.249, 0.167, 0.748), Sn at (0.000, 0.500, 0.000), Hg at (0.000, 0.000, 0.500), Hg at (0.000, 0.169, 0.000) and Hg at (0.000, 0.340, 0.500).

As for the total energy: -32.105 eV for the cell shown. The crystal system is monoclinic.

---

Entry from the Alexandria database: crystalline Na6SnHg10 at its relaxed geometry (GGA-PBE).

The structure belongs to space group P-31m (No. 162); the cell edges are 9.1793, 9.1793 and 6.1511 Å and the angles 90.00°, 90.00° and 120.00°. Symmetry generates all atoms from Na at (0.0000, 0.3825, 0.2777), Sn at (0.0000, 0.0000, 0.5000), Hg at (0.0000, 0.2627, 0.8086), Hg at (0.3333, 0.6667, 0.0000) and Hg at (0.3333, 0.6667, 0.5000).

As for the total energy: -18.098 eV for the cell shown. The crystal system is trigonal.

---

Entry from the Alexandria database: crystalline Na5Sn2Hg4 at its relaxed geometry (GGA-PBE).

The structure belongs to space group C2/m (No. 12); the cell edges are 27.248, 3.217 and 7.666 Å and the angles 90.00°, 99.65° and 90.00°. Symmetry generates all atoms from Na at (0.000, 0.000, 0.000), Na at (0.152, 0.500, 0.452), Na at (0.185, 0.500, 0.951), Sn at (0.073, 0.500, 0.744), Hg at (0.039, 0.500, 0.352) and Hg at (0.244, 0.000, 0.686).

As for the total energy: -33.310 eV for the cell shown. The crystal system is monoclinic.